Computed, not measured: a relaxed structure of CaEuGe2 at the PBE level of DFT.

The structure belongs to space group P4/mmm (No. 123); the cell edges are 3.397, 3.397 and 8.454 Å and the angles 90.00°, 90.00° and 90.00°. The inequivalent atoms are Ca at (0.000, 0.000, 0.000), Eu at (0.000, 0.000, 0.500) and Ge at (0.500, 0.500, 0.247).

Its calculated total energy is -5.90 eV/atom.



Computed, not measured: a relaxed structure of Cd2HPd6Au at the PBE level of DFT.

The structure belongs to space group P1 (No. 1); the cell edges are 5.427, 5.427 and 6.818 Å and the angles 71.44°, 71.55° and 61.92°. The inequivalent atoms are Cd at (0.000, 0.000, 0.000), Cd at (0.434, 0.437, 0.415), H at (0.717, 0.719, 0.707), Pd at (0.065, 0.558, 0.828), Pd at (0.369, 0.880, 0.587), Pd at (0.527, 0.527, 0.974), Pd at (0.556, 0.066, 0.829), Pd at (0.878, 0.371, 0.587), Pd at (0.907, 0.910, 0.441) and Au at (0.217, 0.219, 0.208).

Its calculated total energy is -4.08 eV/atom.



Computed, not measured: a relaxed structure of TiRhS2N at the PBE level of DFT.

The structure belongs to space group P4/mmm (No. 123); the cell edges are 4.746, 4.746 and 3.706 Å and the angles 90.00°, 90.00° and 90.00°. The inequivalent atoms are Ti at (0.000, 0.000, 0.000), Rh at (0.500, 0.500, 0.500), S at (0.000, 0.500, 0.000) and N at (0.000, 0.000, 0.500).

The calculation puts the relative energy among the computed polymorphs at 0 meV per atom. The uncorrected formation energy is 302.8 meV per atom.



Computed, not measured: a relaxed structure of In2HgI at the PBE level of DFT.

The structure belongs to space group P4/mmm (No. 123); the cell edges are 5.690, 5.690 and 3.961 Å and the angles 90.00°, 90.00° and 90.00°. The inequivalent atoms are In at (0.000, 0.500, 0.000), Hg at (0.000, 0.000, 0.500) and I at (0.500, 0.500, 0.500).

The calculation puts the relative energy among the computed polymorphs at 32 meV per atom. The uncorrected formation energy is -104.1 meV per atom.



Computed, not measured: a relaxed structure of LiIr2Rh4 at the PBE level of DFT.

The structure belongs to space group Pbam (No. 55); the cell edges are 4.657, 10.599 and 4.312 Å and the angles 90.00°, 90.00° and 90.00°. The inequivalent atoms are Li at (0.000, 0.000, 0.000), Ir at (0.240, 0.181, 0.500), Rh at (0.064, 0.312, 0.000) and Rh at (0.245, 0.438, 0.500).

Its calculated total energy is -6.83 eV/atom.



Computed, not measured: a relaxed structure of CrHIr2Os at the PBE level of DFT.

The structure belongs to space group P4/mmm (No. 123); the cell edges are 4.485, 4.485 and 4.434 Å and the angles 90.00°, 90.00° and 90.00°. The inequivalent atoms are Cr at (0.000, 0.000, 0.000), H at (0.500, 0.500, 0.500), Ir at (0.000, 0.500, 0.000) and Os at (0.000, 0.000, 0.500).

The calculation puts the relative energy among the computed polymorphs at 2105 meV per atom.



Number 1: calculated volume 24.383 Å³/atom. Number 2: calculated volume 16.458 Å³/atom. Number 3: calculated volume 16.696 Å³/atom. Number 4: calculated volume 32.054 Å³/atom. Number 5: calculated volume 15.202 Å³/atom. Number 6: calculated volume 17.837 Å³/atom.